# CeYGa GGA-PBE relaxed
data_CeYGa
_symmetry_space_group_name_H-M 'C 1 2/m 1'
_symmetry_Int_Tables_number 12
_cell_length_a 11.180
_cell_length_b 3.966
_cell_length_c 7.229
_cell_angle_alpha 90.00
_cell_angle_beta 111.93
_cell_angle_gamma 90.00
loop_
_symmetry_equiv_pos_as_xyz
'x,y,z'
'-x,-y,-z'
'-x,y,-z'
'x,-y,z'
'x+1/2,y+1/2,z'
'-x+1/2,-y+1/2,-z'
'-x+1/2,y+1/2,-z'
'x+1/2,-y+1/2,z'
loop_
_atom_site_label
_atom_site_type_symbol
_atom_site_fract_x
_atom_site_fract_y
_atom_site_fract_z
Ce1 Ce 0.183 0.000 0.365
Y1 Y 0.135 0.000 0.834
Ga1 Ga 0.000 0.500 0.000
Ga2 Ga 0.000 0.500 0.500
# polymorph energy (0 for the lowest one)	96	meV/atom
# ΔE_f	-333	meV per atom
# calculated density	6.7	Mg/m³